No. 1
The following is a PBE calculation of crystalline MnTlSe2 at its relaxed geometry, from Alexandria.

Properties
Raw total energy: -68.2 eV per cell
Size of the total moment: 17.71 μB per cell
N(E_F): 0.68 states/eV/atom
Formation energy (no corrections): 1.46 eV per formula unit

a = 7.109 Å, b = 7.109 Å, c = 7.109 Å
α = 90.00°, β = 90.00°, γ = 90.00°
Atoms (fractional coordinates):
Mn 0.000 0.000 0.000
Mn 0.000 0.500 0.500
Mn 0.500 0.000 0.500
Mn 0.500 0.500 0.000
Tl 0.250 0.250 0.250
Tl 0.250 0.750 0.750
Tl 0.750 0.250 0.750
Tl 0.750 0.750 0.250
Se 0.000 0.000 0.500
Se 0.000 0.500 0.000
Se 0.250 0.250 0.750
Se 0.250 0.750 0.250
Se 0.500 0.000 0.000
Se 0.500 0.500 0.500
Se 0.750 0.250 0.250
Se 0.750 0.750 0.750

---

No. 2
The following is a PBE calculation of crystalline MnTl4Se at its relaxed geometry, from Alexandria.

Properties
Raw total energy: -19.3 eV per cell
Size of the total moment: 4.75 μB per cell
N(E_F): 0.81 states/eV/atom
Formation energy (no corrections): 2.81 eV per formula unit

a = 6.333 Å, b = 6.333 Å, c = 6.333 Å
α = 60.00°, β = 60.00°, γ = 60.00°
Atoms (fractional coordinates):
Mn 0.000 0.000 0.000
Tl 0.375 0.375 0.375
Tl 0.375 0.375 0.875
Tl 0.375 0.875 0.375
Tl 0.875 0.375 0.375
Se 0.750 0.750 0.750

---

No. 3
The following is a PBE calculation of crystalline MnTlSe2 at its relaxed geometry, from Alexandria.

Properties
Raw total energy: -79.5 eV per cell
Size of the total moment: 8.00 μB per cell
N(E_F): 0.04 states/eV/atom
Formation energy (no corrections): -1.37 eV per formula unit

a = 5.914 Å, b = 13.143 Å, c = 5.440 Å
α = 90.00°, β = 90.00°, γ = 90.00°
Atoms (fractional coordinates):
Mn 0.000 0.000 0.250
Mn 0.000 0.000 0.750
Mn 0.500 0.500 0.250
Mn 0.500 0.500 0.750
Tl 0.250 0.250 0.000
Tl 0.250 0.750 0.500
Tl 0.750 0.250 0.500
Tl 0.750 0.750 0.000
Se 0.232 0.097 0.500
Se 0.232 0.903 0.000
Se 0.268 0.403 0.500
Se 0.268 0.597 0.000
Se 0.732 0.403 0.000
Se 0.732 0.597 0.500
Se 0.768 0.097 0.000
Se 0.768 0.903 0.500

---

No. 4
The following is a PBE calculation of crystalline MnTlSe2 at its relaxed geometry, from Alexandria.

Properties
Raw total energy: -39.7 eV per cell
Size of the total moment: 8.00 μB per cell
N(E_F): 0.07 states/eV/atom
Formation energy (no corrections): -1.36 eV per formula unit

a = 14.457 Å, b = 3.567 Å, c = 4.736 Å
α = 90.00°, β = 91.41°, γ = 90.00°
Atoms (fractional coordinates):
Mn 0.000 0.000 0.000
Mn 0.500 0.500 0.000
Tl 0.269 0.500 0.499
Tl 0.769 0.000 0.499
Se 0.115 0.500 0.988
Se 0.382 0.000 0.008
Se 0.615 0.000 0.988
Se 0.882 0.500 0.008

---

No. 5
The following is a PBE calculation of crystalline MnTlSe2 at its relaxed geometry, from Alexandria.

Properties
Raw total energy: -19.8 eV per cell
Size of the total moment: 4.00 μB per cell
N(E_F): 0.47 states/eV/atom
Formation energy (no corrections): -1.31 eV per formula unit

a = 3.904 Å, b = 4.046 Å, c = 7.376 Å
α = 90.00°, β = 105.25°, γ = 90.00°
Atoms (fractional coordinates):
Mn 0.000 0.000 0.000
Tl 0.229 0.500 0.456
Se 0.606 0.000 0.213
Se 0.906 0.500 0.812

---

No. 6
The following is a PBE calculation of crystalline MnTlSe2 at its relaxed geometry, from Alexandria.

Properties
Raw total energy: -39.6 eV per cell
Size of the total moment: 2.13 μB per cell
N(E_F): 0.43 states/eV/atom
Formation energy (no corrections): -1.30 eV per formula unit

a = 3.402 Å, b = 5.694 Å, c = 9.586 Å
α = 79.52°, β = 89.76°, γ = 90.00°
Atoms (fractional coordinates):
Mn 0.000 0.000 0.000
Mn 0.500 0.388 0.989
Tl 0.492 0.932 0.536
Tl 0.993 0.458 0.452
Se 0.002 0.334 0.819
Se 0.498 0.054 0.170
Se 0.502 0.819 0.865
Se 0.999 0.569 0.124

---

No. 7
The following is a PBE calculation of crystalline MnTlSe2 at its relaxed geometry, from Alexandria.

Properties
Raw total energy: -76.3 eV per cell
Size of the total moment: 0.00 μB per cell
N(E_F): 0.88 states/eV/atom
Formation energy (no corrections): -0.58 eV per formula unit

a = 7.198 Å, b = 4.523 Å, c = 11.392 Å
α = 90.00°, β = 90.00°, γ = 90.00°
Atoms (fractional coordinates):
Mn 0.073 0.250 0.131
Mn 0.427 0.750 0.631
Mn 0.573 0.250 0.369
Mn 0.927 0.750 0.869
Tl 0.130 0.750 0.388
Tl 0.370 0.250 0.888
Tl 0.630 0.750 0.112
Tl 0.870 0.250 0.612
Se 0.109 0.750 0.051
Se 0.144 0.750 0.725
Se 0.356 0.250 0.225
Se 0.391 0.250 0.551
Se 0.609 0.750 0.449
Se 0.644 0.750 0.775
Se 0.856 0.250 0.275
Se 0.891 0.250 0.949

---

No. 8
The following is a PBE calculation of crystalline MnTlSe2 at its relaxed geometry, from Alexandria.

Properties
Raw total energy: -79.9 eV per cell
Size of the total moment: 8.00 μB per cell
N(E_F): 0.01 states/eV/atom
Formation energy (no corrections): -1.47 eV per formula unit

a = 7.533 Å, b = 11.493 Å, c = 5.401 Å
α = 90.00°, β = 113.02°, γ = 90.00°
Atoms (fractional coordinates):
Mn 0.000 0.001 0.250
Mn 0.000 0.999 0.750
Mn 0.500 0.499 0.750
Mn 0.500 0.501 0.250
Tl 0.000 0.368 0.750
Tl 0.000 0.632 0.250
Tl 0.500 0.132 0.250
Tl 0.500 0.868 0.750
Se 0.192 0.116 0.607
Se 0.192 0.884 0.107
Se 0.308 0.384 0.393
Se 0.308 0.616 0.893
Se 0.692 0.384 0.107
Se 0.692 0.616 0.607
Se 0.808 0.116 0.893
Se 0.808 0.884 0.393

---

No. 9
The following is a PBE calculation of crystalline MnTlSe2 at its relaxed geometry, from Alexandria.

Properties
Raw total energy: -19.3 eV per cell
Size of the total moment: 4.83 μB per cell
N(E_F): 0.27 states/eV/atom
Formation energy (no corrections): -0.78 eV per formula unit

a = 4.049 Å, b = 4.049 Å, c = 5.903 Å
α = 90.00°, β = 90.00°, γ = 90.00°
Atoms (fractional coordinates):
Mn 0.000 0.000 0.000
Tl 0.500 0.500 0.500
Se 0.000 0.000 0.500
Se 0.500 0.500 0.000

---

No. 10
The following is a PBE calculation of crystalline MnTlSe2 at its relaxed geometry, from Alexandria.

Properties
Raw total energy: -60.6 eV per cell
Size of the total moment: 12.03 μB per cell
N(E_F): 0.35 states/eV/atom
Formation energy (no corrections): -1.71 eV per formula unit

a = 3.790 Å, b = 3.790 Å, c = 23.192 Å
α = 90.00°, β = 90.00°, γ = 120.00°
Atoms (fractional coordinates):
Mn 0.000 0.000 0.000
Mn 0.333 0.667 0.667
Mn 0.667 0.333 0.333
Tl 0.000 0.000 0.833
Tl 0.333 0.667 0.499
Tl 0.667 0.333 0.166
Se 0.000 0.000 0.393
Se 0.000 0.000 0.606
Se 0.333 0.667 0.060
Se 0.333 0.667 0.273
Se 0.667 0.333 0.727
Se 0.667 0.333 0.939

---

No. 11
The following is a PBE calculation of crystalline MnTlSe2 at its relaxed geometry, from Alexandria.

Properties
Raw total energy: -56.4 eV per cell
Size of the total moment: 12.49 μB per cell
N(E_F): 0.39 states/eV/atom
Formation energy (no corrections): -0.30 eV per formula unit

a = 4.069 Å, b = 4.069 Å, c = 22.183 Å
α = 90.00°, β = 90.00°, γ = 120.00°
Atoms (fractional coordinates):
Mn 0.000 0.000 0.000
Mn 0.333 0.667 0.667
Mn 0.667 0.333 0.333
Tl 0.000 0.000 0.764
Tl 0.333 0.667 0.430
Tl 0.667 0.333 0.097
Se 0.000 0.000 0.296
Se 0.000 0.000 0.496
Se 0.333 0.667 0.163
Se 0.333 0.667 0.963
Se 0.667 0.333 0.630
Se 0.667 0.333 0.830

---

No. 12
The following is a PBE calculation of crystalline MnTlSe2 at its relaxed geometry, from Alexandria.

Properties
Raw total energy: -79.4 eV per cell
Size of the total moment: 7.06 μB per cell
N(E_F): 0.35 states/eV/atom
Formation energy (no corrections): -1.36 eV per formula unit

a = 9.043 Å, b = 3.349 Å, c = 13.288 Å
α = 90.00°, β = 90.00°, γ = 90.00°
Atoms (fractional coordinates):
Mn 0.009 0.250 0.080
Mn 0.491 0.750 0.580
Mn 0.509 0.250 0.420
Mn 0.991 0.750 0.920
Tl 0.071 0.250 0.615
Tl 0.429 0.750 0.115
Tl 0.571 0.250 0.885
Tl 0.929 0.750 0.385
Se 0.115 0.750 0.192
Se 0.178 0.250 0.945
Se 0.322 0.750 0.445
Se 0.385 0.250 0.692
Se 0.615 0.750 0.308
Se 0.678 0.250 0.555
Se 0.822 0.750 0.055
Se 0.885 0.250 0.808

---

No. 13
The following is a PBE calculation of crystalline MnTlSe2 at its relaxed geometry, from Alexandria.

Properties
Raw total energy: -38.0 eV per cell
Size of the total moment: 8.18 μB per cell
N(E_F): 0.49 states/eV/atom
Formation energy (no corrections): -0.52 eV per formula unit

a = 4.721 Å, b = 4.768 Å, c = 8.081 Å
α = 90.00°, β = 90.00°, γ = 90.00°
Atoms (fractional coordinates):
Mn 0.000 0.000 0.000
Mn 0.500 0.500 0.000
Tl 0.000 0.000 0.500
Tl 0.500 0.500 0.500
Se 0.000 0.500 0.190
Se 0.000 0.500 0.810
Se 0.500 0.000 0.190
Se 0.500 0.000 0.810

---

No. 14
The following is a PBE calculation of crystalline MnTlSe2 at its relaxed geometry, from Alexandria.

Properties
Raw total energy: -64.4 eV per cell
Size of the total moment: 0.00 μB per cell
N(E_F): 0.63 states/eV/atom
Formation energy (no corrections): 2.40 eV per formula unit

a = 6.782 Å, b = 6.782 Å, c = 6.782 Å
α = 90.00°, β = 90.00°, γ = 90.00°
Atoms (fractional coordinates):
Mn 0.000 0.000 0.000
Mn 0.000 0.500 0.500
Mn 0.500 0.000 0.500
Mn 0.500 0.500 0.000
Tl 0.000 0.000 0.500
Tl 0.000 0.500 0.000
Tl 0.500 0.000 0.000
Tl 0.500 0.500 0.500
Se 0.250 0.250 0.250
Se 0.250 0.250 0.750
Se 0.250 0.750 0.250
Se 0.250 0.750 0.750
Se 0.750 0.250 0.250
Se 0.750 0.250 0.750
Se 0.750 0.750 0.250
Se 0.750 0.750 0.750

---

No. 15
The following is a PBE calculation of crystalline MnTlSe2 at its relaxed geometry, from Alexandria.

Properties
Raw total energy: -78.8 eV per cell
Size of the total moment: 11.07 μB per cell
N(E_F): 0.44 states/eV/atom
Formation energy (no corrections): -1.19 eV per formula unit

a = 12.953 Å, b = 3.995 Å, c = 9.524 Å
α = 90.00°, β = 113.46°, γ = 90.00°
Atoms (fractional coordinates):
Mn 0.245 0.000 0.394
Mn 0.255 0.500 0.606
Mn 0.745 0.500 0.394
Mn 0.755 0.000 0.606
Tl 0.066 0.500 0.851
Tl 0.434 0.000 0.149
Tl 0.566 0.000 0.851
Tl 0.934 0.500 0.149
Se 0.131 0.000 0.137
Se 0.147 0.000 0.560
Se 0.353 0.500 0.440
Se 0.369 0.500 0.863
Se 0.631 0.500 0.137
Se 0.647 0.500 0.560
Se 0.853 0.000 0.440
Se 0.869 0.000 0.863

---

No. 16
The following is a PBE calculation of crystalline Mn5Tl3Se12 at its relaxed geometry, from Alexandria.

Properties
Raw total energy: -399.4 eV per cell
Size of the total moment: 56.04 μB per cell
N(E_F): 0.51 states/eV/atom
Formation energy (no corrections): -5.08 eV per formula unit

a = 13.795 Å, b = 13.795 Å, c = 13.795 Å
α = 109.47°, β = 109.47°, γ = 109.47°
Atoms (fractional coordinates):
Mn 0.000 0.000 0.000
Mn 0.000 0.000 0.500
Mn 0.000 0.500 0.000
Mn 0.000 0.500 0.500
Mn 0.125 0.750 0.875
Mn 0.125 0.875 0.250
Mn 0.250 0.125 0.875
Mn 0.250 0.625 0.375
Mn 0.375 0.250 0.625
Mn 0.375 0.625 0.750
Mn 0.500 0.000 0.000
Mn 0.500 0.000 0.500
Mn 0.500 0.500 0.000
Mn 0.500 0.500 0.500
Mn 0.625 0.375 0.250
Mn 0.625 0.750 0.375
Mn 0.750 0.375 0.625
Mn 0.750 0.875 0.125
Mn 0.875 0.125 0.750
Mn 0.875 0.250 0.125
Tl 0.125 0.250 0.375
Tl 0.125 0.375 0.750
Tl 0.250 0.375 0.125
Tl 0.250 0.875 0.625
Tl 0.375 0.125 0.250
Tl 0.375 0.750 0.125
Tl 0.625 0.250 0.875
Tl 0.625 0.875 0.750
Tl 0.750 0.125 0.375
Tl 0.750 0.625 0.875
Tl 0.875 0.625 0.250
Tl 0.875 0.750 0.625
Se 0.016 0.197 0.115
Se 0.016 0.319 0.900
Se 0.081 0.697 0.681
Se 0.081 0.885 0.400
Se 0.100 0.615 0.419
Se 0.100 0.984 0.681
Se 0.115 0.016 0.197
Se 0.115 0.600 0.919
Se 0.181 0.197 0.581
Se 0.181 0.484 0.600
Se 0.197 0.115 0.016
Se 0.197 0.581 0.181
Se 0.303 0.319 0.919
Se 0.303 0.484 0.385
Se 0.319 0.900 0.016
Se 0.319 0.919 0.303
Se 0.385 0.303 0.484
Se 0.385 0.581 0.900
Se 0.400 0.081 0.885
Se 0.400 0.819 0.516
Se 0.419 0.100 0.615
Se 0.419 0.819 0.803
Se 0.484 0.385 0.303
Se 0.484 0.600 0.181
Se 0.516 0.400 0.819
Se 0.516 0.615 0.697
Se 0.581 0.181 0.197
Se 0.581 0.900 0.385
Se 0.600 0.181 0.484
Se 0.600 0.919 0.115
Se 0.615 0.419 0.100
Se 0.615 0.697 0.516
Se 0.681 0.081 0.697
Se 0.681 0.100 0.984
Se 0.697 0.516 0.615
Se 0.697 0.681 0.081
Se 0.803 0.419 0.819
Se 0.803 0.885 0.984
Se 0.819 0.516 0.400
Se 0.819 0.803 0.419
Se 0.885 0.400 0.081
Se 0.885 0.984 0.803
Se 0.900 0.016 0.319
Se 0.900 0.385 0.581
Se 0.919 0.115 0.600
Se 0.919 0.303 0.319
Se 0.984 0.681 0.100
Se 0.984 0.803 0.885

---

No. 17
The following is a PBE calculation of crystalline MnTlSe2 at its relaxed geometry, from Alexandria.

Properties
Raw total energy: -74.7 eV per cell
Size of the total moment: 0.00 μB per cell
N(E_F): 1.37 states/eV/atom
Formation energy (no corrections): -0.17 eV per formula unit

a = 3.082 Å, b = 28.355 Å, c = 4.006 Å
α = 90.00°, β = 90.00°, γ = 90.00°
Atoms (fractional coordinates):
Mn 0.000 0.195 0.250
Mn 0.000 0.805 0.750
Mn 0.500 0.305 0.750
Mn 0.500 0.695 0.250
Tl 0.000 0.449 0.250
Tl 0.000 0.551 0.750
Tl 0.500 0.051 0.750
Tl 0.500 0.949 0.250
Se 0.000 0.282 0.250
Se 0.000 0.370 0.750
Se 0.000 0.630 0.250
Se 0.000 0.718 0.750
Se 0.500 0.130 0.250
Se 0.500 0.218 0.750
Se 0.500 0.782 0.250
Se 0.500 0.870 0.750

---

No. 18
The following is a PBE calculation of crystalline MnTl6Se4 at its relaxed geometry, from Alexandria.

Properties
Raw total energy: -82.7 eV per cell
Size of the total moment: 9.99 μB per cell
Formation energy (no corrections): -4.06 eV per formula unit

a = 10.484 Å, b = 10.484 Å, c = 7.468 Å
α = 90.00°, β = 90.00°, γ = 120.00°
Atoms (fractional coordinates):
Mn 0.333 0.667 0.000
Mn 0.667 0.333 0.500
Tl 0.063 0.532 0.622
Tl 0.153 0.306 0.298
Tl 0.153 0.847 0.298
Tl 0.306 0.153 0.798
Tl 0.468 0.532 0.622
Tl 0.468 0.937 0.622
Tl 0.532 0.063 0.122
Tl 0.532 0.468 0.122
Tl 0.694 0.847 0.298
Tl 0.847 0.153 0.798
Tl 0.847 0.694 0.798
Tl 0.937 0.468 0.122
Se 0.199 0.398 0.895
Se 0.199 0.801 0.895
Se 0.333 0.667 0.342
Se 0.398 0.199 0.395
Se 0.602 0.801 0.895
Se 0.667 0.333 0.842
Se 0.801 0.199 0.395
Se 0.801 0.602 0.395

---

No. 19
The following is a PBE calculation of crystalline Mn2Tl2Se3 at its relaxed geometry, from Alexandria.

Properties
Raw total energy: -144.5 eV per cell
Size of the total moment: 40.05 μB per cell
N(E_F): 0.03 states/eV/atom
Formation energy (no corrections): -2.61 eV per formula unit

a = 11.168 Å, b = 11.168 Å, c = 7.187 Å
α = 108.53°, β = 108.53°, γ = 83.63°
Atoms (fractional coordinates):
Mn 0.033 0.581 0.871
Mn 0.148 0.305 0.643
Mn 0.305 0.148 0.143
Mn 0.419 0.967 0.629
Mn 0.581 0.033 0.371
Mn 0.695 0.852 0.857
Mn 0.852 0.695 0.357
Mn 0.967 0.419 0.129
Tl 0.063 0.937 0.250
Tl 0.203 0.797 0.750
Tl 0.314 0.493 0.394
Tl 0.493 0.314 0.894
Tl 0.507 0.686 0.106
Tl 0.686 0.507 0.606
Tl 0.797 0.203 0.250
Tl 0.937 0.063 0.750
Se 0.061 0.646 0.262
Se 0.107 0.245 0.252
Se 0.245 0.107 0.752
Se 0.247 0.522 0.818
Se 0.354 0.939 0.238
Se 0.478 0.753 0.682
Se 0.522 0.247 0.318
Se 0.646 0.061 0.762
Se 0.753 0.478 0.182
Se 0.755 0.893 0.248
Se 0.893 0.755 0.748
Se 0.939 0.354 0.738

---

No. 20
The following is a PBE calculation of crystalline MnTlSe2 at its relaxed geometry, from Alexandria.

Properties
Raw total energy: -39.8 eV per cell
Size of the total moment: 4.00 μB per cell
N(E_F): 0.05 states/eV/atom
Formation energy (no corrections): -1.42 eV per formula unit

a = 7.333 Å, b = 5.296 Å, c = 7.335 Å
α = 90.00°, β = 90.12°, γ = 90.00°
Atoms (fractional coordinates):
Mn 0.000 0.000 0.000
Mn 0.000 0.500 0.000
Tl 0.000 0.251 0.500
Tl 0.500 0.751 0.000
Se 0.122 0.750 0.771
Se 0.229 0.250 0.122
Se 0.771 0.250 0.878
Se 0.878 0.750 0.229